Computed, not measured: a relaxed structure of Li2LaRu at the GGA-PBE level of DFT.

The calculation puts the energy above the lowest structure with this stoichiometry at 185 meV per atom. The formation energy is 177 meV/atom.

The structure belongs to space group Fm-3m (No. 225); the cell edges are 6.583, 6.583 and 6.583 Å and the angles 90.00°, 90.00° and 90.00°. The inequivalent atoms are Li at (0.250, 0.250, 0.250), La at (0.000, 0.000, 0.000) and Ru at (0.000, 0.000, 0.500).

Computed, not measured: a relaxed structure of LiLa3Ru at the GGA-PBE level of DFT.

The calculation puts the energy above the lowest structure with this stoichiometry at 35 meV per atom. The formation energy is -131 meV/atom.

The structure belongs to space group C2/m (No. 12); the cell edges are 12.593, 5.811 and 9.326 Å and the angles 90.00°, 111.39° and 90.00°. The inequivalent atoms are Li at (0.093, 0.000, 0.446), La at (0.109, 0.500, 0.227), La at (0.127, 0.000, 0.923), La at (0.156, 0.500, 0.659) and Ru at (0.123, 0.500, 0.918).

Computed, not measured: a relaxed structure of LiLa3Ru at the GGA-PBE level of DFT.

The calculation puts the energy above the lowest structure with this stoichiometry at 668 meV per atom. The formation energy is 502 meV/atom.

The structure belongs to space group Cmcm (No. 63); the cell edges are 6.446, 16.923 and 6.062 Å and the angles 90.00°, 90.00° and 90.00°. The inequivalent atoms are Li at (0.000, 0.176, 0.250), La at (0.000, 0.000, 0.000), La at (0.241, 0.348, 0.250) and Ru at (0.000, 0.470, 0.250).

Computed, not measured: a relaxed structure of LiLa3Ru at the GGA-PBE level of DFT.

The calculation puts the energy above the lowest structure with this stoichiometry at 58 meV per atom. The formation energy is -108 meV/atom.

The structure belongs to space group Pm-3m (No. 221); the cell edges are 5.580, 5.580 and 5.580 Å and the angles 90.00°, 90.00° and 90.00°. The inequivalent atoms are Li at (0.000, 0.000, 0.000), La at (0.000, 0.500, 0.500) and Ru at (0.500, 0.500, 0.500).

Computed, not measured: a relaxed structure of LiLaRuS2 at the GGA-PBE level of DFT.

The value obtained for the electronic total energy is -4.6470 eV per atom.

The structure belongs to space group P4/mmm (No. 123); the cell edges are 5.612, 5.612 and 4.968 Å and the angles 90.00°, 90.00° and 90.00°. The inequivalent atoms are Li at (0.000, 0.000, 0.000), La at (0.500, 0.500, 0.500), Ru at (0.500, 0.500, 0.000) and S at (0.000, 0.500, 0.500).

Computed, not measured: a relaxed structure of LiLaSnRu at the GGA-PBE level of DFT.

The formation energy is -339 meV/atom.

The structure belongs to space group F-43m (No. 216); the cell edges are 6.875, 6.875 and 6.875 Å and the angles 90.00°, 90.00° and 90.00°. The inequivalent atoms are Li at (0.000, 0.000, 0.000), La at (0.250, 0.250, 0.750), Sn at (0.250, 0.250, 0.250) and Ru at (0.000, 0.000, 0.500).

Computed, not measured: a relaxed structure of SrLiLaRu at the GGA-PBE level of DFT.

The formation energy is 103 meV/atom.

The structure belongs to space group F-43m (No. 216); the cell edges are 7.364, 7.364 and 7.364 Å and the angles 90.00°, 90.00° and 90.00°. The inequivalent atoms are Sr at (0.000, 0.000, 0.000), Li at (0.250, 0.250, 0.250), La at (0.000, 0.000, 0.500) and Ru at (0.250, 0.250, 0.750).

Computed, not measured: a relaxed structure of SrLiLa2Ru at the GGA-PBE level of DFT.

The calculation puts the energy above the lowest structure with this stoichiometry at 27 meV per atom. The formation energy is -24 meV/atom.

The structure belongs to space group P4/mmm (No. 123); the cell edges are 5.386, 5.386 and 5.828 Å and the angles 90.00°, 90.00° and 90.00°. The inequivalent atoms are Sr at (0.000, 0.000, 0.000), Li at (0.500, 0.500, 0.000), La at (0.000, 0.500, 0.500) and Ru at (0.500, 0.500, 0.500).

Computed, not measured: a relaxed structure of Sr2LiLaRu at the GGA-PBE level of DFT.

The formation energy is 49 meV/atom.

The structure belongs to space group P4/mmm (No. 123); the cell edges are 6.107, 6.107 and 5.146 Å and the angles 90.00°, 90.00° and 90.00°. The inequivalent atoms are Sr at (0.000, 0.500, 0.000), Li at (0.000, 0.000, 0.500), La at (0.500, 0.500, 0.500) and Ru at (0.500, 0.500, 0.000).

Computed, not measured: a relaxed structure of SrLi2LaRu at the GGA-PBE level of DFT.

The formation energy is 136 meV/atom.

The structure belongs to space group P4/mmm (No. 123); the cell edges are 5.396, 5.396 and 4.971 Å and the angles 90.00°, 90.00° and 90.00°. The inequivalent atoms are Sr at (0.000, 0.000, 0.000), Li at (0.000, 0.500, 0.500), La at (0.500, 0.500, 0.000) and Ru at (0.500, 0.500, 0.500).

Computed, not measured: a relaxed structure of SrLiLa2Ru at the GGA-PBE level of DFT.

The calculation puts the energy above the lowest structure with this stoichiometry at 0 meV per atom. The formation energy is -52 meV/atom.

The structure belongs to space group P4/mmm (No. 123); the cell edges are 5.410, 5.410 and 6.221 Å and the angles 90.00°, 90.00° and 90.00°. The inequivalent atoms are Sr at (0.000, 0.000, 0.000), Li at (0.500, 0.500, 0.000), La at (0.000, 0.500, 0.500) and Ru at (0.000, 0.000, 0.500).

Computed, not measured: a relaxed structure of LiLaY2Ru at the GGA-PBE level of DFT.

The formation energy is -64 meV/atom.

The structure belongs to space group P4/mmm (No. 123); the cell edges are 5.447, 5.447 and 5.409 Å and the angles 90.00°, 90.00° and 90.00°. The inequivalent atoms are Li at (0.000, 0.000, 0.000), La at (0.500, 0.500, 0.000), Y at (0.000, 0.500, 0.500) and Ru at (0.500, 0.500, 0.500).